First-principles (PBE) data for crystalline BeZn2Ir at its relaxed geometry, as listed in Alexandria.

a b c (Å): 2.918 2.918 6.143
angles (deg): 90.00 90.00 90.00
Element x y z (fractional)
Be 0.000 0.000 0.537
Ir 0.500 0.500 0.704
Zn 0.000 0.000 0.986
Zn 0.500 0.500 0.273

Properties
The space-group type is P4mm. Its crystal system is tetragonal. The calculation puts the total magnetization at 0.00 μB/f.u. The formation energy comes out at -0.23 eV/atom.